Record 1
## NaZn2In2 (PBE-GGA)

Data for crystalline NaZn2In2 at its relaxed geometry.

Summary:
Total magnetic moment ... 0.0 μB per cell
ΔE_f ... 0.01 eV/atom
DOS at the Fermi energy ... 1.72 states/eV per cell
V ... 23.223 Å³/atom
Energy above the most stable polymorph in this dataset ... 37 meV/atom

Cell lengths 4.192, 4.192, 7.241 Å; angles 73.17, 73.17, 90.00 degrees
Element x y z (fractional)
Zn  0.250  0.750  0.500
Zn  0.750  0.250  0.500
In  0.390  0.390  0.220
In  0.610  0.610  0.780
Na  0.000  0.000  0.000

Record 2
## Tm2NiCl (PBE-GGA)

Data for crystalline Tm2NiCl at its relaxed geometry.

Summary:
Total magnetic moment ... 0.0 μB per cell
E_form (uncorrected) ... -3.681 eV per formula unit
DOS at the Fermi energy ... 3.09 states/eV per cell
V ... 22.906 Å³/atom
Energy above the most stable polymorph in this dataset ... 0 meV/atom

Cell lengths 3.831, 3.831, 7.541 Å; angles 75.28, 75.28, 60.00 degrees
Element x y z (fractional)
Tm  0.733  0.733  0.800
Tm  0.267  0.267  0.200
Cl  0.500  0.500  0.500
Ni  0.000  0.000  0.000

Record 3
## CsU3Ag4Se12 (PBE-GGA)

Data for crystalline CsU3Ag4Se12 at its relaxed geometry.

Summary:
Total magnetic moment ... 0.0 μB per cell
E_form (uncorrected) ... -11.519 eV per formula unit
DOS at the Fermi energy ... 12.12 states/eV per cell
V ... 32.991 Å³/atom

Cell lengths 9.435, 9.435, 9.435 Å; angles 108.91, 108.91, 108.91 degrees
Element x y z (fractional)
Ag  0.500  0.500  0.500
Ag  0.500  0.933  0.067
Ag  0.933  0.067  0.500
Ag  0.067  0.500  0.933
Se  0.081  0.658  0.755
Se  0.755  0.081  0.658
Se  0.342  0.919  0.245
Se  0.667  0.500  0.333
Se  0.333  0.667  0.500
Se  0.500  0.103  0.897
Se  0.103  0.897  0.500
Se  0.500  0.333  0.667
Se  0.245  0.342  0.919
Se  0.658  0.755  0.081
Se  0.919  0.245  0.342
Se  0.897  0.500  0.103
U  0.000  0.563  0.437
U  0.437  0.000  0.563
U  0.563  0.437  0.000
Cs  0.000  0.000  0.000